# 1
A plane-wave DFT calculation with PBE was carried out for a relaxed Cs2CdCoBr6 crystal.

Computed properties:
formation energy from raw total energies: -1.045 eV/atom

Lattice parameters (Å, degrees): 13.6686 13.6686 13.6686 33.01 33.01 33.01
Element x y z (fractional)
Cs  0.1237  0.1237  0.1237
Cs  0.2924  0.2924  0.2924
Cs  0.7076  0.7076  0.7076
Cs  0.8763  0.8763  0.8763
Cd  0.4126  0.4126  0.4126
Cd  0.5874  0.5874  0.5874
Co  0.0000  0.0000  0.0000
Co  0.5000  0.5000  0.5000
Br  0.1459  0.6171  0.6171
Br  0.1981  0.1981  0.7217
Br  0.1981  0.7217  0.1981
Br  0.2783  0.8019  0.8019
Br  0.3829  0.3829  0.8541
Br  0.3829  0.8541  0.3829
Br  0.6171  0.1459  0.6171
Br  0.6171  0.6171  0.1459
Br  0.7217  0.1981  0.1981
Br  0.8019  0.2783  0.8019
Br  0.8019  0.8019  0.2783
Br  0.8541  0.3829  0.3829

# 2
A plane-wave DFT calculation with PBE was carried out for a relaxed Tl3Sn4Pb2 crystal.

Computed properties:
energy of formation: 0.2 eV/f.u.
energy relative to the lowest polymorph listed for this composition: 0 meV/atom

Lattice parameters (Å, degrees): 8.0850 8.0850 8.0812 107.16 107.16 32.48
Element x y z (fractional)
Tl  0.0000  0.0000  0.0000
Tl  0.4476  0.4476  0.6566
Tl  0.5524  0.5524  0.3434
Sn  0.1227  0.1227  0.6858
Sn  0.3282  0.3282  0.0101
Sn  0.6718  0.6718  0.9899
Sn  0.8773  0.8773  0.3142
Pb  0.2214  0.2214  0.3299
Pb  0.7786  0.7786  0.6701

# 3
A plane-wave DFT calculation with PBE was carried out for a relaxed Pu2Ga8Ni crystal.

Computed properties:
energy of formation: -4.3 eV/f.u.

Lattice parameters (Å, degrees): 4.2712 4.2712 11.1332 90.00 90.00 90.00
Element x y z (fractional)
Pu  0.0000  0.0000  0.1942
Pu  0.0000  0.0000  0.8058
Ga  0.0000  0.5000  0.0000
Ga  0.0000  0.5000  0.3806
Ga  0.0000  0.5000  0.6194
Ga  0.5000  0.0000  0.0000
Ga  0.5000  0.0000  0.3806
Ga  0.5000  0.0000  0.6194
Ga  0.5000  0.5000  0.1928
Ga  0.5000  0.5000  0.8072
Ni  0.0000  0.0000  0.5000

# 4
A plane-wave DFT calculation with PBE was carried out for a relaxed BiW crystal.

Computed properties:
energy of formation: 4.1 eV/f.u.
energy relative to the lowest polymorph listed for this composition: 1509 meV/atom

Lattice parameters (Å, degrees): 4.5286 4.5286 4.5286 60.00 60.00 60.00
Element x y z (fractional)
Bi  0.0000  0.0000  0.0000
W  0.2500  0.2500  0.2500

# 5
A plane-wave DFT calculation with PBE was carried out for a relaxed RbGaPb3 crystal.

Computed properties:
energy of formation: 0.6 eV/f.u.
energy relative to the lowest polymorph listed for this composition: 153 meV/atom

Lattice parameters (Å, degrees): 5.7262 5.7262 5.7262 90.00 90.00 90.00
Element x y z (fractional)
Rb  0.0000  0.0000  0.0000
Ga  0.5000  0.5000  0.5000
Pb  0.0000  0.5000  0.5000
Pb  0.5000  0.0000  0.5000
Pb  0.5000  0.5000  0.0000

# 6
A plane-wave DFT calculation with PBE was carried out for a relaxed La2SmAgSe5 crystal.

Computed properties:
formation energy from raw total energies: -1.649 eV/atom

Lattice parameters (Å, degrees): 9.1356 9.1356 12.6642 90.00 90.00 153.22
Element x y z (fractional)
La  0.1108  0.8892  0.5000
La  0.1234  0.8766  0.1228
La  0.8766  0.1234  0.6228
La  0.8892  0.1108  0.0000
Sm  0.1955  0.8045  0.8234
Sm  0.8045  0.1955  0.3234
Ag  0.4450  0.5550  0.2737
Ag  0.5550  0.4450  0.7737
Se  0.0442  0.9558  0.8918
Se  0.2884  0.7116  0.4847
Se  0.3073  0.6927  0.1599
Se  0.3603  0.6397  0.8159
Se  0.4978  0.5022  0.5862
Se  0.5022  0.4978  0.0862
Se  0.6397  0.3603  0.3159
Se  0.6927  0.3073  0.6599
Se  0.7116  0.2884  0.9847
Se  0.9558  0.0442  0.3918

Sequential VASP energy output: -3.02; -3.37; -5.72; -6.39; -2.91; -5.52 eV/atom